DFT (GGA-PBE) results for crystalline AlZn3Cu12 at its relaxed geometry.

The total energy is -334.384 eV/cell. The crystal system is trigonal. The calculation puts the magnetic moment at 0.00 μB/atom. The value obtained for the formation energy from the elements is 1.0 eV per formula unit.

It has space group R3c (No. 161, hexagonal axes), with a = 8.9652 Å, b = 8.9652 Å, c = 18.5219 Å, α = 90.00°, β = 90.00° and γ = 120.00°. The inequivalent atoms are Al at (0.0000, 0.0000, 0.0000), Zn at (0.0505, 0.1880, 0.3606), Cu at (0.0315, 0.4217, 0.1601), Cu at (0.0444, 0.1864, 0.6191), Cu at (0.1083, 0.3706, 0.7208) and Cu at (0.1852, 0.0486, 0.2311).

---

DFT (GGA-PBE) results for crystalline Al4ZnCu7 at its relaxed geometry.

The total energy is -46.855 eV/cell. The crystal system is triclinic. The calculation puts the magnetic moment at 0.00 μB/atom. The value obtained for the formation energy from the elements is -1.9 eV per formula unit.

It has space group P-1 (No. 2), with a = 5.1187 Å, b = 5.4200 Å, c = 6.1743 Å, α = 75.42°, β = 81.32° and γ = 71.70°. The inequivalent atoms are Al at (0.0889, 0.1889, 0.3241), Al at (0.3299, 0.6471, 0.3230), Zn at (0.5000, 0.0000, 0.0000), Cu at (0.0000, 0.0000, 0.0000), Cu at (0.1753, 0.3271, 0.6643), Cu at (0.2519, 0.5055, 0.9852) and Cu at (0.4018, 0.8395, 0.6513).

---

DFT (GGA-PBE) results for crystalline Al2ZnCu12 at its relaxed geometry.

The total energy is -111.939 eV/cell. The crystal system is tetragonal. The calculation puts the magnetic moment at 0.00 μB/atom. The value obtained for the formation energy from the elements is 1.9 eV per formula unit.

It has space group P4/nbm (No. 125, origin choice 2), with a = 4.7994 Å, b = 4.7994 Å, c = 17.9452 Å, α = 90.00°, β = 90.00° and γ = 90.00°. The inequivalent atoms are Al at (0.2500, 0.7500, 0.2188), Zn at (0.2500, 0.7500, 0.5000), Cu at (0.0002, 0.9998, 0.3932), Cu at (0.0742, 0.5742, 0.0615), Cu at (0.2500, 0.2500, 0.1596) and Cu at (0.2500, 0.2500, 0.2910).

---

DFT (GGA-PBE) results for crystalline Al2ZnCu at its relaxed geometry.

The total energy is -25.985 eV/cell. The crystal system is tetragonal. The calculation puts the magnetic moment at 0.00 μB/atom. The value obtained for the formation energy from the elements is -0.1 eV per formula unit.

It has space group I4/mmm (No. 139), with a = 3.9279 Å, b = 3.9279 Å, c = 7.6589 Å, α = 90.00°, β = 90.00° and γ = 90.00°. The inequivalent atoms are Al at (0.0000, 0.5000, 0.2500), Zn at (0.0000, 0.0000, 0.0000) and Cu at (0.0000, 0.0000, 0.5000).

---

DFT (GGA-PBE) results for crystalline AlZn6Cu12 at its relaxed geometry.

The total energy is -182.104 eV/cell. The crystal system is trigonal. The calculation puts the magnetic moment at 0.00 μB/atom. The value obtained for the formation energy from the elements is -0.2 eV per formula unit.

It has space group R-3 (No. 148, hexagonal axes), with a = 8.9822 Å, b = 8.9822 Å, c = 10.7889 Å, α = 90.00°, β = 90.00° and γ = 120.00°. The inequivalent atoms are Al at (0.0000, 0.0000, 0.0000), Zn at (0.0153, 0.4251, 0.7031), Cu at (0.0274, 0.1793, 0.8112) and Cu at (0.0589, 0.8533, 0.4123).

---

DFT (GGA-PBE) results for crystalline AlZnCu4 at its relaxed geometry.

The total energy is -42.849 eV/cell. The crystal system is monoclinic. The calculation puts the magnetic moment at 0.00 μB/atom. The value obtained for the formation energy from the elements is 0.0 eV per formula unit.

It has space group C2/m (No. 12), with a = 8.3418 Å, b = 2.6344 Å, c = 8.2771 Å, α = 90.00°, β = 117.80° and γ = 90.00°. The inequivalent atoms are Al at (0.0000, 0.0000, 0.0000), Zn at (0.0000, 0.5000, 0.5000), Cu at (0.1533, 0.5000, 0.8463) and Cu at (0.1571, 0.0000, 0.3443).

---

DFT (GGA-PBE) results for crystalline AlZn3Cu7 at its relaxed geometry.

The total energy is -70.278 eV/cell. The crystal system is monoclinic. The calculation puts the magnetic moment at 0.00 μB/atom. The value obtained for the formation energy from the elements is 1.1 eV per formula unit.

It has space group C2/m (No. 12), with a = 8.5425 Å, b = 8.6266 Å, c = 4.6503 Å, α = 90.00°, β = 114.77° and γ = 90.00°. The inequivalent atoms are Al at (0.0000, 0.0000, 0.0000), Zn at (0.0000, 0.2923, 0.5000), Zn at (0.0000, 0.5000, 0.0000), Cu at (0.0000, 0.0000, 0.5000), Cu at (0.1736, 0.2574, 0.1775) and Cu at (0.2197, 0.5000, 0.5511).

---

DFT (GGA-PBE) results for crystalline AlZnCu at its relaxed geometry.

The total energy is -18.760 eV/cell. The crystal system is monoclinic. The calculation puts the magnetic moment at 0.00 μB/atom. The value obtained for the formation energy from the elements is -0.3 eV per formula unit.

It has space group P2_1/m (No. 11), with a = 4.6024 Å, b = 4.5252 Å, c = 4.6083 Å, α = 90.00°, β = 119.30° and γ = 90.00°. The inequivalent atoms are Al at (0.1869, 0.2500, 0.1679), Zn at (0.1603, 0.7500, 0.5075) and Cu at (0.4846, 0.7500, 0.1637).

---

DFT (GGA-PBE) results for crystalline Al2ZnCu at its relaxed geometry.

The total energy is -39.562 eV/cell. The crystal system is trigonal. The calculation puts the magnetic moment at 0.00 μB/atom. The value obtained for the formation energy from the elements is -0.3 eV per formula unit.

It has space group R-3m (No. 166, hexagonal axes), with a = 2.8888 Å, b = 2.8888 Å, c = 24.7944 Å, α = 90.00°, β = 90.00° and γ = 120.00°. The inequivalent atoms are Al at (0.0000, 0.0000, 0.2457), Zn at (0.0000, 0.0000, 0.0000) and Cu at (0.0000, 0.0000, 0.5000).

---

DFT (GGA-PBE) results for crystalline AlZnCu6 at its relaxed geometry.

The total energy is -245.186 eV/cell. The crystal system is orthorhombic. The calculation puts the magnetic moment at 0.00 μB/atom. The value obtained for the formation energy from the elements is -1.1 eV per formula unit. The polymorph energy (0 for the lowest one) comes out at 0.000 eV/atom.

It has space group Cmmm (No. 65), with a = 7.3320 Å, b = 10.4614 Å, c = 10.4093 Å, α = 90.00°, β = 90.00° and γ = 90.00°. The inequivalent atoms are Al at (0.0000, 0.0000, 0.2505), Al at (0.0000, 0.2507, 0.0000), Zn at (0.0000, 0.2509, 0.5000), Zn at (0.0000, 0.5000, 0.2505), Cu at (0.0000, 0.0000, 0.0000), Cu at (0.0000, 0.0000, 0.5000), Cu at (0.0000, 0.2496, 0.2495), Cu at (0.0000, 0.5000, 0.0000), Cu at (0.0000, 0.5000, 0.5000), Cu at (0.2494, 0.1253, 0.1248) and Cu at (0.2492, 0.1246, 0.3748).

---

Question: Which formula does entry 1 have?
Answer: AlZn3Cu12

---

Question: Number 7 is which compound?
Answer: AlZn3Cu7